*w*
First-principles (SCAN) data for a PBEsol-optimized structure of MoPtAu2, as listed in the Alexandria database.

The structure belongs to space group Fm-3m (No. 225); the cell edges are 6.3390, 6.3390 and 6.3390 Å and the angles 90.00°, 90.00° and 90.00°. The distinct sites, in fractional coordinates, are Mo at (0.0000, 0.0000, 0.0000), Pt at (0.0000, 0.0000, 0.5000) and Au at (0.2500, 0.2500, 0.2500).

The volume comes out at 255 Å³/cell.



*x*
First-principles (SCAN) data for a PBEsol-optimized structure of MoPtAu2, as listed in the Alexandria database.

The structure belongs to space group P4/mmm (No. 123); the cell edges are 4.0988, 4.0988 and 3.8468 Å and the angles 90.00°, 90.00° and 90.00°. The distinct sites, in fractional coordinates, are Mo at (0.0000, 0.0000, 0.0000), Pt at (0.5000, 0.5000, 0.0000) and Au at (0.0000, 0.5000, 0.5000).

The volume comes out at 65 Å³/cell.



Which structure is the least stable? The one labeled *x*.



*w*
First-principles (SCAN) data for a PBEsol-optimized structure of Mo2PtAu, as listed in the Alexandria database.

The structure belongs to space group P2/m (No. 10); the cell edges are 4.7835, 2.7759 and 4.9093 Å and the angles 90.00°, 108.93° and 90.00°. The distinct sites, in fractional coordinates, are Mo at (0.0000, 0.0000, 0.0000), Mo at (0.5000, 0.5000, 0.0000), Pt at (0.0000, 0.5000, 0.5000) and Au at (0.5000, 0.0000, 0.5000).

The volume comes out at 62 Å³/cell.



*x*
First-principles (SCAN) data for a PBEsol-optimized structure of Mo2PtAu, as listed in the Alexandria database.

The structure belongs to space group F-43m (No. 216); the cell edges are 6.3032, 6.3032 and 6.3032 Å and the angles 90.00°, 90.00° and 90.00°. The distinct sites, in fractional coordinates, are Mo at (0.0000, 0.0000, 0.0000), Mo at (0.2500, 0.2500, 0.2500), Pt at (0.0000, 0.0000, 0.5000) and Au at (0.2500, 0.2500, 0.7500).

The volume comes out at 250 Å³/cell.



*y*
First-principles (SCAN) data for a PBEsol-optimized structure of Mo2PtAu, as listed in the Alexandria database.

The structure belongs to space group P4mm (No. 99); the cell edges are 2.7289, 2.7289 and 8.3585 Å and the angles 90.00°, 90.00° and 90.00°. The distinct sites, in fractional coordinates, are Mo at (0.0000, 0.0000, 0.0000), Mo at (0.5000, 0.5000, 0.2630), Pt at (0.0000, 0.0000, 0.4855) and Au at (0.5000, 0.5000, 0.7521).

The volume comes out at 62 Å³/cell.



Which structure is the least stable? The one labeled *x*.



*w*
First-principles (SCAN) data for a PBEsol-optimized structure of ReMo2Au, as listed in the Alexandria database.

The structure belongs to space group P4/mmm (No. 123); the cell edges are 3.3041, 3.3041 and 5.7144 Å and the angles 90.00°, 90.00° and 90.00°. The distinct sites, in fractional coordinates, are Re at (0.0000, 0.0000, 0.0000), Mo at (0.5000, 0.5000, 0.2294) and Au at (0.0000, 0.0000, 0.5000).

The volume comes out at 62 Å³/cell.



*x*
First-principles (SCAN) data for a PBEsol-optimized structure of ReMo2Au, as listed in the Alexandria database.

The structure belongs to space group I4/mmm (No. 139); the cell edges are 3.9517, 3.9517 and 7.7962 Å and the angles 90.00°, 90.00° and 90.00°. The distinct sites, in fractional coordinates, are Re at (0.0000, 0.0000, 0.0000), Mo at (0.0000, 0.5000, 0.2500) and Au at (0.0000, 0.0000, 0.5000).

The volume comes out at 122 Å³/cell.



Which structure is the least stable? The one labeled *w*.



*w*
First-principles (SCAN) data for a PBEsol-optimized structure of MoRh2Au, as listed in the Alexandria database.

The structure belongs to space group Fm-3m (No. 225); the cell edges are 6.1901, 6.1901 and 6.1901 Å and the angles 90.00°, 90.00° and 90.00°. The distinct sites, in fractional coordinates, are Mo at (0.0000, 0.0000, 0.0000), Rh at (0.2500, 0.2500, 0.2500) and Au at (0.0000, 0.0000, 0.5000).

The volume comes out at 237 Å³/cell.



*x*
First-principles (SCAN) data for a PBEsol-optimized structure of MoRh2Au, as listed in the Alexandria database.

The structure belongs to space group Cm (No. 8); the cell edges are 9.1789, 2.7530 and 4.7110 Å and the angles 90.00°, 100.51° and 90.00°. The distinct sites, in fractional coordinates, are Mo at (0.0000, 0.0000, 0.0000), Rh at (0.0099, 0.5000, 0.5231), Rh at (0.2539, 0.0000, 0.7817) and Au at (0.2556, 0.5000, 0.2774).

The volume comes out at 117 Å³/cell.



*y*
First-principles (SCAN) data for a PBEsol-optimized structure of MoRh2Au, as listed in the Alexandria database.

The structure belongs to space group P4/mmm (No. 123); the cell edges are 2.7537, 2.7537 and 7.7777 Å and the angles 90.00°, 90.00° and 90.00°. The distinct sites, in fractional coordinates, are Mo at (0.0000, 0.0000, 0.0000), Rh at (0.5000, 0.5000, 0.2323) and Au at (0.0000, 0.0000, 0.5000).

The volume comes out at 59 Å³/cell.



*z*
First-principles (SCAN) data for a PBEsol-optimized structure of MoRh2Au, as listed in the Alexandria database.

The structure belongs to space group F-43m (No. 216); the cell edges are 6.1970, 6.1970 and 6.1970 Å and the angles 90.00°, 90.00° and 90.00°. The distinct sites, in fractional coordinates, are Mo at (0.0000, 0.0000, 0.0000), Rh at (0.0000, 0.0000, 0.5000), Rh at (0.2500, 0.2500, 0.2500) and Au at (0.2500, 0.2500, 0.7500).

The volume comes out at 238 Å³/cell.



Which structure is the least stable? The one labeled *z*.



*w*
First-principles (SCAN) data for a PBEsol-optimized structure of SrMoAu, as listed in the Alexandria database.

The structure belongs to space group P-6m2 (No. 187); the cell edges are 4.4162, 4.4162 and 4.4862 Å and the angles 90.00°, 90.00° and 120.00°. The distinct sites, in fractional coordinates, are Sr at (0.0000, 0.0000, 0.0000), Mo at (0.6667, 0.3333, 0.5000) and Au at (0.3333, 0.6667, 0.5000).

The volume comes out at 76 Å³/cell.



*x*
First-principles (SCAN) data for a PBEsol-optimized structure of SrMoAu, as listed in the Alexandria database.

The structure belongs to space group P3m1 (No. 156); the cell edges are 3.0661, 3.0661 and 7.5318 Å and the angles 90.00°, 90.00° and 120.00°. The distinct sites, in fractional coordinates, are Sr at (0.0000, 0.0000, 0.0000), Mo at (0.3333, 0.6667, 0.3550) and Au at (0.6667, 0.3333, 0.6422).

The volume comes out at 61 Å³/cell.



Which structure is the least stable? The one labeled *x*.



*w*
First-principles (SCAN) data for a PBEsol-optimized structure of TcMo2Au, as listed in the Alexandria database.

The structure belongs to space group Fm-3m (No. 225); the cell edges are 6.2773, 6.2773 and 6.2773 Å and the angles 90.00°, 90.00° and 90.00°. The distinct sites, in fractional coordinates, are Tc at (0.0000, 0.0000, 0.0000), Mo at (0.2500, 0.2500, 0.2500) and Au at (0.0000, 0.0000, 0.5000).

The volume comes out at 247 Å³/cell.



*x*
First-principles (SCAN) data for a PBEsol-optimized structure of TcMo2Au, as listed in the Alexandria database.

The structure belongs to space group R-3m (No. 166, hexagonal axes); the cell edges are 2.7709, 2.7709 and 27.6651 Å and the angles 90.00°, 90.00° and 120.00°. The distinct sites, in fractional coordinates, are Tc at (0.0000, 0.0000, 0.0000), Mo at (0.0000, 0.0000, 0.2543) and Au at (0.0000, 0.0000, 0.5000).

The volume comes out at 184 Å³/cell.



Which structure is the least stable? The one labeled *w*.



*w*
First-principles (SCAN) data for a PBEsol-optimized structure of Tc2MoAu, as listed in the Alexandria database.

The structure belongs to space group F-43m (No. 216); the cell edges are 6.2296, 6.2296 and 6.2296 Å and the angles 90.00°, 90.00° and 90.00°. The distinct sites, in fractional coordinates, are Tc at (0.0000, 0.0000, 0.0000), Tc at (0.2500, 0.2500, 0.2500), Mo at (0.2500, 0.2500, 0.7500) and Au at (0.0000, 0.0000, 0.5000).

The volume comes out at 242 Å³/cell.



*x*
First-principles (SCAN) data for a PBEsol-optimized structure of Tc2MoAu, as listed in the Alexandria database.

The structure belongs to space group Pmm2 (No. 25); the cell edges are 2.7819, 3.8840 and 5.5553 Å and the angles 90.00°, 90.00° and 90.00°. The distinct sites, in fractional coordinates, are Tc at (0.0000, 0.0000, 0.0000), Tc at (0.5000, 0.5000, 0.2096), Mo at (0.5000, 0.5000, 0.7661) and Au at (0.0000, 0.0000, 0.4916).

The volume comes out at 60 Å³/cell.



*y*
First-principles (SCAN) data for a PBEsol-optimized structure of Tc2MoAu, as listed in the Alexandria database.

The structure belongs to space group I4/mmm (No. 139); the cell edges are 3.9315, 3.9315 and 7.6656 Å and the angles 90.00°, 90.00° and 90.00°. The distinct sites, in fractional coordinates, are Tc at (0.0000, 0.5000, 0.2500), Mo at (0.0000, 0.0000, 0.0000) and Au at (0.0000, 0.0000, 0.5000).

The volume comes out at 118 Å³/cell.



Which structure is the least stable? The one labeled *w*.



*w*
First-principles (SCAN) data for a PBEsol-optimized structure of TlMoAu2, as listed in the Alexandria database.

The structure belongs to space group Imm2 (No. 44); the cell edges are 2.9203, 5.0776 and 9.7720 Å and the angles 90.00°, 90.00° and 90.00°. The distinct sites, in fractional coordinates, are Tl at (0.0000, 0.0000, 0.0000), Mo at (0.0000, 0.5000, 0.7551), Au at (0.0000, 0.0000, 0.4942) and Au at (0.0000, 0.5000, 0.2443).

The volume comes out at 145 Å³/cell.



*x*
First-principles (SCAN) data for a PBEsol-optimized structure of TlMoAu2, as listed in the Alexandria database.

The structure belongs to space group Cm (No. 8); the cell edges are 9.1439, 2.9511 and 5.4071 Å and the angles 90.00°, 99.55° and 90.00°. The distinct sites, in fractional coordinates, are Tl at (0.0000, 0.0000, 0.0000), Mo at (0.2505, 0.5000, 0.2759), Au at (0.2462, 0.0000, 0.7332) and Au at (0.4944, 0.0000, 0.4846).

The volume comes out at 144 Å³/cell.



Which structure is the least stable? The one labeled *w*.



*w*
First-principles (SCAN) data for a PBEsol-optimized structure of TlMoAu2, as listed in the Alexandria database.

The structure belongs to space group Fm-3m (No. 225); the cell edges are 6.6255, 6.6255 and 6.6255 Å and the angles 90.00°, 90.00° and 90.00°. The distinct sites, in fractional coordinates, are Tl at (0.0000, 0.0000, 0.0000), Mo at (0.0000, 0.0000, 0.5000) and Au at (0.2500, 0.2500, 0.2500).

The volume comes out at 291 Å³/cell.



*x*
First-principles (SCAN) data for a PBEsol-optimized structure of TlMoAu2, as listed in the Alexandria database.

The structure belongs to space group Pmmm (No. 47); the cell edges are 2.8994, 4.1241 and 6.0190 Å and the angles 90.00°, 90.00° and 90.00°. The distinct sites, in fractional coordinates, are Tl at (0.0000, 0.0000, 0.0000), Mo at (0.0000, 0.0000, 0.5000) and Au at (0.5000, 0.5000, 0.2740).

The volume comes out at 72 Å³/cell.



Which structure is the least stable? The one labeled *w*.



*w*
First-principles (SCAN) data for a PBEsol-optimized structure of YMo2Au, as listed in the Alexandria database.

The structure belongs to space group P4/mmm (No. 123); the cell edges are 2.7871, 2.7871 and 9.1572 Å and the angles 90.00°, 90.00° and 90.00°. The distinct sites, in fractional coordinates, are Y at (0.0000, 0.0000, 0.0000), Mo at (0.5000, 0.5000, 0.2715) and Au at (0.0000, 0.0000, 0.5000).

The volume comes out at 71 Å³/cell.



*x*
First-principles (SCAN) data for a PBEsol-optimized structure of YMo2Au, as listed in the Alexandria database.

The structure belongs to space group Pmmm (No. 47); the cell edges are 3.4610, 4.3587 and 4.7699 Å and the angles 90.00°, 90.00° and 90.00°. The distinct sites, in fractional coordinates, are Y at (0.0000, 0.0000, 0.0000), Mo at (0.0000, 0.5000, 0.5000), Mo at (0.5000, 0.0000, 0.5000) and Au at (0.5000, 0.5000, 0.0000).

The volume comes out at 72 Å³/cell.



*y*
First-principles (SCAN) data for a PBEsol-optimized structure of YMo2Au, as listed in the Alexandria database.

The structure belongs to space group C2/m (No. 12); the cell edges are 10.4940, 3.2409 and 4.7508 Å and the angles 90.00°, 107.98° and 90.00°. The distinct sites, in fractional coordinates, are Y at (0.0000, 0.0000, 0.0000), Mo at (0.2344, 0.0000, 0.6793) and Au at (0.0000, 0.5000, 0.5000).

The volume comes out at 154 Å³/cell.



Which structure is the least stable? The one labeled *w*.



*w*
First-principles (SCAN) data for a PBEsol-optimized structure of Zn2MoAu, as listed in the Alexandria database.

The structure belongs to space group F-43m (No. 216); the cell edges are 6.2511, 6.2511 and 6.2511 Å and the angles 90.00°, 90.00° and 90.00°. The distinct sites, in fractional coordinates, are Zn at (0.0000, 0.0000, 0.0000), Zn at (0.2500, 0.2500, 0.2500), Mo at (0.0000, 0.0000, 0.5000) and Au at (0.2500, 0.2500, 0.7500).

The volume comes out at 244 Å³/cell.



*x*
First-principles (SCAN) data for a PBEsol-optimized structure of Zn2MoAu, as listed in the Alexandria database.

The structure belongs to space group Imm2 (No. 44); the cell edges are 2.7317, 4.6078 and 9.4289 Å and the angles 90.00°, 90.00° and 90.00°. The distinct sites, in fractional coordinates, are Zn at (0.0000, 0.0000, 0.0000), Zn at (0.0000, 0.5000, 0.2651), Mo at (0.0000, 0.0000, 0.5117) and Au at (0.0000, 0.5000, 0.7438).

The volume comes out at 119 Å³/cell.



Which structure is the least stable? The one labeled *w*.



*w*
First-principles (SCAN) data for a PBEsol-optimized structure of Zn2MoAu, as listed in the Alexandria database.

The structure belongs to space group Fm-3m (No. 225); the cell edges are 6.1762, 6.1762 and 6.1762 Å and the angles 90.00°, 90.00° and 90.00°. The distinct sites, in fractional coordinates, are Zn at (0.2500, 0.2500, 0.2500), Mo at (0.0000, 0.0000, 0.0000) and Au at (0.0000, 0.0000, 0.5000).

The volume comes out at 236 Å³/cell.



*x*
First-principles (SCAN) data for a PBEsol-optimized structure of Zn2MoAu, as listed in the Alexandria database.

The structure belongs to space group P4/mmm (No. 123); the cell edges are 4.0048, 4.0048 and 3.6907 Å and the angles 90.00°, 90.00° and 90.00°. The distinct sites, in fractional coordinates, are Zn at (0.0000, 0.5000, 0.0000), Mo at (0.0000, 0.0000, 0.5000) and Au at (0.5000, 0.5000, 0.5000).

The volume comes out at 59 Å³/cell.



Which structure is the least stable? The one labeled *w*.